[1]
Compound: ReW2I
Source: the Alexandria database
Functional: PBE
Structure: relaxed

## Properties
The value obtained for the formation energy without anion corrections is 1822 meV/atom. The value obtained for the magnetic moment is 0.00 Bohr magnetons per cell. Its energy above the lowest structure with this stoichiometry is 567.5 meV/atom.

Lattice parameters (Å, degrees): 5.624 5.624 7.621 68.35 68.35 90.00
Positions (direct):
I (0.500, 0.500, 0.000)
I (0.250, 0.750, 0.500)
Re (0.000, 0.000, 0.000)
Re (0.750, 0.250, 0.500)
W (0.668, 0.125, 0.250)
W (0.082, 0.625, 0.250)
W (0.375, 0.332, 0.750)
W (0.875, 0.918, 0.750)

---

[2]
Compound: BaSb2Pt2
Source: the Alexandria database
Functional: PBE
Structure: relaxed

## Properties
The value obtained for the formation energy without anion corrections is -306 meV/atom. The value obtained for the magnetic moment is 0.00 Bohr magnetons per cell.

Lattice parameters (Å, degrees): 8.533 8.533 3.262 90.00 90.00 90.00
Positions (direct):
Sb (0.363, 0.863, 0.000)
Sb (0.863, 0.637, 0.000)
Sb (0.637, 0.137, 0.000)
Sb (0.137, 0.363, 0.000)
Ba (0.000, 0.000, 0.000)
Ba (0.500, 0.500, 0.000)
Pt (0.144, 0.644, 0.500)
Pt (0.644, 0.856, 0.500)
Pt (0.856, 0.356, 0.500)
Pt (0.356, 0.144, 0.500)

---

[3]
Compound: Nd3TmAu3
Source: the Alexandria database
Functional: PBE
Structure: relaxed

## Properties
The value obtained for the magnetic moment is 0.00 Bohr magnetons per cell. Its energy of formation is -4.23 eV/f.u.

Lattice parameters (Å, degrees): 7.318 7.318 7.346 91.02 91.02 96.24
Positions (direct):
Nd (0.657, 0.657, 0.384)
Nd (0.178, 0.822, 0.500)
Nd (0.822, 0.178, 0.500)
Nd (0.262, 0.738, 0.000)
Nd (0.738, 0.262, 0.000)
Nd (0.343, 0.343, 0.616)
Tm (0.748, 0.748, 0.883)
Tm (0.252, 0.252, 0.117)
Au (0.937, 0.937, 0.185)
Au (0.974, 0.506, 0.722)
Au (0.506, 0.974, 0.722)
Au (0.026, 0.494, 0.278)
Au (0.494, 0.026, 0.278)
Au (0.063, 0.063, 0.815)

---

[4]
Compound: Ce2Mg3
Source: the Alexandria database
Functional: PBE
Structure: relaxed

## Properties
The value obtained for the magnetic moment is 0.00 Bohr magnetons per cell. Its energy of formation is 0.21 eV/f.u.

Lattice parameters (Å, degrees): 3.161 3.161 14.260 83.64 83.64 60.00
Positions (direct):
Ce (0.298, 0.298, 0.106)
Ce (0.702, 0.702, 0.894)
Mg (0.104, 0.104, 0.687)
Mg (0.500, 0.500, 0.500)
Mg (0.896, 0.896, 0.313)

---

[5]
Compound: LaCuTc2
Source: the Alexandria database
Functional: PBE
Structure: relaxed

## Properties
The value obtained for the magnetic moment is 0.00 Bohr magnetons per cell. Its energy of formation is 2.34 eV/f.u. Its energy above the lowest structure with this stoichiometry is 529.4 meV/atom.

Lattice parameters (Å, degrees): 2.748 2.748 9.105 90.00 90.00 89.99
Positions (direct):
Cu (0.500, 0.500, 0.250)
La (0.500, 0.500, 0.750)
Tc (0.000, 0.000, 0.045)
Tc (0.000, 0.000, 0.455)

---

[6]
Compound: Dy2YCo
Source: the Alexandria database
Functional: PBE
Structure: relaxed

## Properties
The value obtained for the magnetic moment is 1.03 Bohr magnetons per cell. Its energy of formation is -0.19 eV/f.u. Its energy above the lowest structure with this stoichiometry is 110.6 meV/atom.

Lattice parameters (Å, degrees): 3.406 3.406 8.850 90.00 90.00 90.00
Site moments in Bohr magnetons follow the coordinates.
Positions (direct):
Y (0.500, 0.500, 0.500)  0.14
Co (0.500, 0.500, 0.000)  0.92
Dy (0.000, 0.000, 0.817)  -0.07
Dy (0.000, 0.000, 0.183)  -0.07

---

[7]
Compound: Cr2CoAu
Source: the Alexandria database
Functional: PBE
Structure: relaxed

## Properties
The value obtained for the magnetic moment is 1.65 Bohr magnetons per cell. Its energy of formation is 0.92 eV/f.u. Its energy above the lowest structure with this stoichiometry is 64.6 meV/atom.

Lattice parameters (Å, degrees): 4.634 4.634 4.634 131.31 131.35 71.29
Site moments in Bohr magnetons follow the coordinates.
Positions (direct):
Au (0.500, 0.500, 0.000)  0.06
Co (0.250, 0.750, 0.500)  1.25
Cr (0.000, 0.000, 0.000)  -2.36
Cr (0.750, 0.250, 0.500)  2.69

---

[8]
Compound: Cd2Ag2Cl
Source: the Alexandria database
Functional: PBE
Structure: relaxed

## Properties
The value obtained for the formation energy without anion corrections is -89 meV/atom. The value obtained for the magnetic moment is 0.00 Bohr magnetons per cell. Its energy above the lowest structure with this stoichiometry is 8.6 meV/atom.

Lattice parameters (Å, degrees): 8.269 8.269 3.205 90.00 90.00 90.00
Positions (direct):
Cl (0.000, 0.000, 0.000)
Cl (0.500, 0.500, 0.000)
Ag (0.118, 0.618, 0.500)
Ag (0.618, 0.882, 0.500)
Ag (0.882, 0.382, 0.500)
Ag (0.382, 0.118, 0.500)
Cd (0.319, 0.819, 0.000)
Cd (0.819, 0.681, 0.000)
Cd (0.681, 0.181, 0.000)
Cd (0.181, 0.319, 0.000)

---

Which value of magnetic moment does entry 8 give?
0.00 Bohr magnetons per cell